A relaxed Dy4Er3 crystal. Source: Alexandria via LeMat-Bulk, functional PBE.

abc: 3.5136 4.9764 12.6958
angles: 101.30 97.95 90.00
Positions (direct):
Dy 0.7141 0.2141 0.4282
Dy 0.2859 0.7859 0.5718
Dy 0.4287 0.9287 0.8573
Dy 0.5713 0.0713 0.1427
Er 0.8572 0.3572 0.7144
Er 0.0000 0.5000 0.0000
Er 0.1428 0.6428 0.2856

## Properties
V, Å³/atom: 30.786
Final energy, eV/atom: -4.566
E_form, kJ per mole of atoms: 1.90
Crystal system: orthorhombic